PBE-GGA ZnP2PdCl, optimized geometry; excess energy over the best structure of this formula in the dataset = 0.0000 eV per atom; size of the total moment = 1.1 μB per formula unit; E_form (uncorrected) = 568 meV per atom; space group = P4/mmm, No. 123; density of states at the Fermi level = 0.69 states/eV per atom; E_tot = -16.29 eV/cell
1.0
-1.0723 0.4023 -4.5175
4.4916 -0.5492 -1.1151
-0.6837 -5.0146 -0.2842
P Zn Pd Cl
2 1 1 1
Direct
0.0000 0.5000 0.0000
0.5000 0.0000 0.0000
0.5000 0.5000 0.5000
0.0000 0.0000 0.0000
0.0000 0.0000 0.5000